A relaxed Ba2TlS2Cl2 crystal. Source: Alexandria, functional PBE-GGA.

```
Ba2TlS2Cl2
1.0
5.353 0.000 0.000
0.000 5.353 0.000
-2.677 -2.677 8.134
Cl Ba S Tl
2 2 2 1
direct
0.807 0.807 0.615 Cl
0.193 0.193 0.385 Cl
0.621 0.621 0.243 Ba
0.379 0.379 0.757 Ba
0.000 0.500 0.000 S
0.500 0.000 0.000 S
0.000 0.000 0.000 Tl
```

Output
volume = 33.30 Å³ per atom
total magnetic moment = 0.000 μB per atom
formation energy without anion corrections = -1613 meV/atom
DFT total energy = -4.207 eV per atom

=====

A relaxed Li7Cd12Hg crystal. Source: Alexandria, functional PBE-GGA.

```
Li7Cd12Hg
1.0
-1.296 2.583 -7.307
0.318 -7.843 -0.366
-6.354 1.840 4.241
Li Cd Hg
7 12 1
direct
0.102 0.677 0.981 Li
0.981 0.102 0.677 Li
0.323 0.019 0.898 Li
0.677 0.981 0.102 Li
0.019 0.898 0.323 Li
0.898 0.323 0.019 Li
0.500 0.500 0.500 Li
0.037 0.287 0.398 Cd
0.336 0.638 0.776 Cd
0.963 0.713 0.602 Cd
0.713 0.602 0.963 Cd
0.362 0.224 0.664 Cd
0.638 0.776 0.336 Cd
0.776 0.336 0.638 Cd
0.224 0.664 0.362 Cd
0.664 0.362 0.224 Cd
0.287 0.398 0.037 Cd
0.602 0.963 0.713 Cd
0.398 0.037 0.287 Cd
0.000 0.000 0.000 Hg
```

Output
formation energy from the elements = -0.165 eV per atom
volume = 20.23 Å³ per atom
total magnetic moment = 0.000 μB per atom
DFT total energy = -1.399 eV per atom

=====

A relaxed Ce2Pu3Rh4 crystal. Source: Alexandria, functional PBE-GGA.

```
Ce2Pu3Rh4
1.0
5.630 0.000 -2.206
0.000 8.237 0.000
0.095 0.000 8.531
Rh Pu Ce
8 6 4
direct
0.678 0.560 0.357 Rh
0.215 0.750 0.930 Rh
0.785 0.250 0.070 Rh
0.285 0.250 0.070 Rh
0.178 0.940 0.357 Rh
0.715 0.750 0.930 Rh
0.322 0.440 0.643 Rh
0.822 0.060 0.643 Rh
0.543 0.750 0.587 Pu
0.457 0.250 0.413 Pu
0.957 0.250 0.413 Pu
0.500 0.500 0.000 Pu
0.043 0.750 0.587 Pu
0.000 0.000 0.000 Pu
0.112 0.598 0.224 Ce
0.888 0.402 0.776 Ce
0.612 0.902 0.224 Ce
0.388 0.098 0.776 Ce
```

Output
formation energy from the elements = -0.429 eV per atom
volume = 22.07 Å³ per atom
total magnetic moment = 0.845 μB per atom
DFT total energy = -9.793 eV per atom

=====

A relaxed GaFeBr2 crystal. Source: Alexandria, functional PBE-GGA.

```
GaFeBr2
1.0
7.772 0.000 0.000
0.000 7.772 0.000
3.886 3.886 3.417
Br Fe Ga
4 2 2
direct
0.875 0.792 0.750 Br
0.375 0.458 0.750 Br
0.208 0.625 0.250 Br
0.542 0.125 0.250 Br
0.500 0.500 0.000 Fe
0.250 0.750 0.500 Fe
0.750 0.250 0.500 Ga
0.000 0.000 0.000 Ga
```

Output
volume = 25.80 Å³ per atom
total magnetic moment = 0.750 μB per atom
formation energy without anion corrections = -60 meV/atom
DFT total energy = -3.769 eV per atom

=====

A relaxed Ba3Na2Au4 crystal. Source: Alexandria, functional PBE-GGA.

```
Ba3Na2Au4
1.0
4.845 0.000 0.000
-2.422 5.905 -2.594
0.000 0.084 9.882
Au Ba Na
4 3 2
direct
0.717 0.434 0.061 Au
0.927 0.854 0.584 Au
0.073 0.146 0.416 Au
0.283 0.566 0.939 Au
0.368 0.737 0.300 Ba
0.000 0.000 0.000 Ba
0.632 0.263 0.700 Ba
0.676 0.353 0.344 Na
0.324 0.647 0.656 Na
```

Output
formation energy from the elements = -0.559 eV per atom
volume = 31.53 Å³ per atom
total magnetic moment = 0.000 μB per atom
DFT total energy = -2.950 eV per atom

=====

A relaxed Zr2CdAu crystal. Source: Alexandria, functional PBE-GGA.

```
Zr2CdAu
1.0
5.081 0.000 0.000
0.000 3.027 -0.008
0.000 0.016 5.362
Au Zr Cd
1 2 1
direct
0.000 0.625 0.454 Au
0.000 0.125 0.936 Zr
0.500 0.125 0.308 Zr
0.500 0.625 0.802 Cd
```

Output
formation energy from the elements = -0.259 eV per atom
volume = 20.62 Å³ per atom
total magnetic moment = 0.000 μB per atom
DFT total energy = -5.582 eV per atom

=====

A relaxed DyPuTe2Cl crystal. Source: Alexandria, functional PBE-GGA.

```
DyPuTe2Cl
1.0
4.377 0.000 0.000
0.000 4.377 0.000
0.000 0.000 15.112
Te Dy Cl Pu
4 2 2 2
direct
0.000 0.500 0.704 Te
0.500 0.000 0.296 Te
0.500 0.000 0.887 Te
0.000 0.500 0.113 Te
0.000 0.500 0.906 Dy
0.500 0.000 0.094 Dy
0.000 0.000 0.500 Cl
0.500 0.500 0.500 Cl
0.500 0.000 0.628 Pu
0.000 0.500 0.372 Pu
```

Output
volume = 28.96 Å³ per atom
total magnetic moment = 1.094 μB per atom
formation energy without anion corrections = -1398 meV/atom
DFT total energy = -6.811 eV per atom

=====

A relaxed Li2DyMg crystal. Source: Alexandria, functional PBE-GGA.

```
Li2DyMg
1.0
-0.972 4.377 2.277
0.282 0.346 5.009
3.733 2.608 2.134
Mg Dy Li
1 1 2
direct
0.500 0.500 0.500 Mg
0.000 0.000 0.000 Dy
0.750 0.750 0.750 Li
0.250 0.250 0.250 Li
```

Output
formation energy from the elements = 0.077 eV per atom
volume = 22.48 Å³ per atom
total magnetic moment = 0.024 μB per atom
DFT total energy = -2.429 eV per atom

=====

A relaxed ZnSbTeMo2 crystal. Source: Alexandria, functional PBE-GGA.

```
ZnSbTeMo2
1.0
-3.358 2.928 -2.199
-2.553 -3.876 -1.261
-2.540 0.287 4.260
Zn Mo Te Sb
1 2 1 1
direct
0.000 0.000 0.000 Zn
0.500 0.000 0.000 Mo
0.000 0.000 0.500 Mo
0.500 0.500 0.500 Te
0.000 0.500 0.000 Sb
```

Output
volume = 23.74 Å³ per atom
total magnetic moment = 1.004 μB per atom
formation energy without anion corrections = 1411 meV/atom
DFT total energy = -4.629 eV per atom

=====

A relaxed Cs2CePdS4 crystal. Source: Alexandria, functional PBE-GGA.

```
Cs2CePdS4
1.0
6.475 0.000 0.000
3.238 7.831 0.000
3.238 0.000 12.669
S Ce Pd Cs
8 2 2 4
direct
0.346 0.787 0.069 S
0.547 0.287 0.569 S
0.404 0.713 0.431 S
0.203 0.213 0.931 S
0.165 0.287 0.431 S
0.883 0.713 0.569 S
0.585 0.213 0.069 S
0.867 0.787 0.931 S
0.000 0.000 0.000 Ce
0.750 0.500 0.500 Ce
0.250 0.500 0.500 Pd
0.500 0.000 0.000 Pd
0.931 0.500 0.138 Cs
0.569 0.500 0.862 Cs
0.181 0.000 0.638 Cs
0.819 0.000 0.362 Cs
```

Output
volume = 40.15 Å³ per atom
total magnetic moment = 0.013 μB per atom
formation energy without anion corrections = -1013 meV/atom
DFT total energy = -4.681 eV per atom

=====

A relaxed Na2TcSbRu crystal. Source: Alexandria, functional PBE-GGA.

```
Na2TcSbRu
1.0
5.406 0.000 0.000
0.000 5.048 0.000
0.000 0.000 5.406
Ru Na Tc Sb
1 2 1 1
direct
0.500 0.500 0.500 Ru
0.500 0.000 0.000 Na
0.000 0.000 0.500 Na
0.000 0.500 0.000 Tc
0.000 0.000 0.000 Sb
```

Output
volume = 29.51 Å³ per atom
total magnetic moment = 0.924 μB per atom
formation energy without anion corrections = 1539 meV/atom
DFT total energy = -3.742 eV per atom

=====

A relaxed Rb3PaTe2O9 crystal. Source: Alexandria, functional PBE-GGA.

```
Rb3PaTe2O9
1.0
-0.258 5.031 3.279
-2.355 -5.102 2.133
6.442 -1.682 3.088
Te O Rb Pa
2 9 3 1
direct
0.333 0.667 0.162 Te
0.667 0.333 0.838 Te
0.500 0.500 0.000 O
0.000 0.500 0.000 O
0.653 0.827 0.330 O
0.347 0.173 0.670 O
0.173 0.827 0.330 O
0.827 0.653 0.670 O
0.500 0.000 0.000 O
0.173 0.347 0.330 O
0.827 0.173 0.670 O
0.667 0.333 0.326 Rb
0.000 0.000 0.000 Rb
0.333 0.667 0.674 Rb
0.000 0.000 0.500 Pa
```

Output
volume = 15.31 Å³ per atom
total magnetic moment = 0.000 μB per atom
formation energy without anion corrections = -1856 meV/atom
DFT total energy = -6.076 eV per atom